1.
{"formula": "TeI4N2", "functional": "GGA-PBE", "state": "relaxed", "lattice": [[3.837, 1.609, 0.116], [1.545, 16.216, 0.012], [0.582, 1.358, 3.872]], "species": ["Te", "I", "I", "I", "I", "N", "N"], "fractional_positions": [[0.000, 0.000, 0.000], [0.072, 0.596, 0.252], [0.928, 0.404, 0.748], [0.254, 0.845, 0.634], [0.746, 0.155, 0.366], [0.356, 0.411, 0.426], [0.644, 0.589, 0.574]], "vol_a3_per_atom": 32.9, "dos_ef_per_ev_fu": 2.35, "magmom_total_mub_per_atom": 0.000, "formation_energy_uncorrected_ev_per_fu": 6.9}

---

2.
{"formula": "Te2IN", "functional": "GGA-PBE", "state": "relaxed", "lattice": [[2.058, 0.000, 10.146], [-1.029, 1.782, 10.146], [-1.029, -1.782, 10.146]], "species": ["I", "Te", "Te", "N"], "fractional_positions": [[0.500, 0.500, 0.500], [0.063, 0.063, 0.063], [0.937, 0.937, 0.937], [0.000, 0.000, 0.000]], "de_polymorph_ev_per_fu": 0.00, "vol_a3_per_atom": 27.9, "dos_ef_per_ev_fu": 2.90, "magmom_total_mub_per_atom": 0.000, "formation_energy_uncorrected_ev_per_fu": 2.8}

---

3.
{"formula": "TeI2N", "functional": "GGA-PBE", "state": "relaxed", "lattice": [[2.810, -2.904, 3.270], [-2.329, -2.483, 3.927], [-0.435, -5.179, -0.093]], "species": ["I", "I", "Te", "N"], "fractional_positions": [[0.250, 0.250, 0.250], [0.750, 0.750, 0.750], [0.500, 0.500, 0.500], [0.000, 0.000, 0.000]], "de_polymorph_ev_per_fu": 6.88, "vol_a3_per_atom": 24.8, "dos_ef_per_ev_fu": 5.07, "magmom_total_mub_per_atom": 0.000, "formation_energy_uncorrected_ev_per_fu": 6.9}

---

4.
{"formula": "TeI2N", "functional": "GGA-PBE", "state": "relaxed", "lattice": [[7.242, 0.000, 0.000], [0.000, 7.242, 0.000], [3.621, 3.621, 5.246]], "species": ["I", "I", "I", "I", "Te", "Te", "N", "N"], "fractional_positions": [[0.374, 0.125, 0.250], [0.376, 0.625, 0.250], [0.375, 0.626, 0.750], [0.875, 0.624, 0.750], [0.000, 0.000, 0.000], [0.750, 0.250, 0.500], [0.500, 0.500, 0.000], [0.250, 0.750, 0.500]], "de_polymorph_ev_per_fu": 4.54, "vol_a3_per_atom": 34.4, "dos_ef_per_ev_fu": 4.30, "magmom_total_mub_per_atom": 0.439, "formation_energy_uncorrected_ev_per_fu": 4.5}

---

5.
{"formula": "Te2IN", "functional": "GGA-PBE", "state": "relaxed", "lattice": [[-5.303, 1.444, -2.336], [-0.828, -5.684, -1.634], [-5.995, -3.381, 3.887]], "species": ["I", "I", "Te", "Te", "Te", "Te", "N", "N"], "fractional_positions": [[0.000, 0.000, 0.000], [0.750, 0.250, 0.500], [0.435, 0.125, 0.250], [0.315, 0.625, 0.250], [0.375, 0.565, 0.750], [0.875, 0.685, 0.750], [0.500, 0.500, 0.000], [0.250, 0.750, 0.500]], "de_polymorph_ev_per_fu": 0.13, "vol_a3_per_atom": 29.8, "dos_ef_per_ev_fu": 3.05, "magmom_total_mub_per_atom": 0.000, "formation_energy_uncorrected_ev_per_fu": 2.9}

---

6.
{"formula": "TeI3N", "functional": "GGA-PBE", "state": "relaxed", "lattice": [[-4.165, 2.307, -1.848], [-2.777, -4.148, 1.079], [-1.013, 1.885, 4.637]], "species": ["I", "I", "I", "Te", "N"], "fractional_positions": [[0.000, 0.500, 0.000], [0.000, 0.000, 0.500], [0.500, 0.000, 0.000], [0.500, 0.500, 0.500], [0.000, 0.000, 0.000]], "de_polymorph_ev_per_fu": 1.62, "vol_a3_per_atom": 26.6, "dos_ef_per_ev_fu": 4.48, "magmom_total_mub_per_atom": 0.000, "formation_energy_uncorrected_ev_per_fu": 5.2}